{
  "formula": "ScHg5",
  "functional": "PBE",
  "state": "optimized geometry",
  "lattice_angstrom": [[-2.105, -4.029, 3.834], [-4.898, -3.097, -1.332], [0.400, -5.797, -1.261]],
  "species": ["Hg", "Hg", "Hg", "Hg", "Hg", "Sc"],
  "fractional_positions": [[0.124, 0.625, 0.625], [0.625, 0.625, 0.625], [0.625, 0.625, 0.124], [0.625, 0.124, 0.625], [0.250, 0.250, 0.250], [0.000, 0.000, 0.000]],
  "mass_density_kg_m3": 11705,
  "ef_ev_per_atom": 0.11,
  "magnetic_moment_mub_per_fu": 0.001,
  "dft_energy_ev_per_fu": -7.16
}